TbY2Tl2Ag2 | PBE | optimized geometry

The energy is -4.18 eV/atom. As for the formation enthalpy at 0 K: -182 meV/atom. Its calculated density is 8.592 g/cm3.

The structure belongs to space group R-3m (No. 166, hexagonal axes); the cell edges are 4.8754, 4.8754 and 27.0753 Å and the angles 90.00°, 90.00° and 120.00°. Symmetry generates all atoms from Tb at (0.0000, 0.0000, 0.0000), Y at (0.0000, 0.0000, 0.1250), Tl at (0.0000, 0.0000, 0.2581) and Ag at (0.0000, 0.0000, 0.3947).

---

LiCa2La | PBE | optimized geometry

The energy is -2.52 eV/atom. As for the formation enthalpy at 0 K: 193 meV/atom. Its calculated density is 2.644 g/cm3. For the polymorph energy (0 for the lowest one), the calculation gives 120.2 meV per atom.

The structure belongs to space group Fm-3m (No. 225); the cell edges are 8.2802, 8.2802 and 8.2802 Å and the angles 90.00°, 90.00° and 90.00°. Symmetry generates all atoms from Li at (0.0000, 0.0000, 0.0000), Ca at (0.2500, 0.2500, 0.2500) and La at (0.0000, 0.0000, 0.5000).